1.
An optimized crystal structure of Ac3Ni2I. Source: Alexandria, functional GGA-PBE.

Cell: 7.888 7.888 10.652 Å, 90.00 90.00 144.24°
Sites, in units of the cell vectors:
Ac  0.084  0.916  0.750
Ac  0.379  0.621  0.546
Ac  0.379  0.621  0.954
Ac  0.621  0.379  0.046
Ac  0.621  0.379  0.454
Ac  0.916  0.084  0.250
Ni  0.000  0.000  0.000
Ni  0.000  0.000  0.500
Ni  0.493  0.507  0.250
Ni  0.507  0.493  0.750
I  0.230  0.770  0.250
I  0.770  0.230  0.750

Summary:
The formation energy from raw total energies comes out at -0.330 eV per atom. The space group is No. 63.



2.
An optimized crystal structure of Tb3PrSmEr. Source: Alexandria, functional GGA-PBE.

Cell: 6.311 6.311 11.897 Å, 90.00 90.00 123.84°
Sites, in units of the cell vectors:
Tb  0.172  0.828  0.503
Tb  0.172  0.828  0.997
Tb  0.326  0.674  0.250
Tb  0.674  0.326  0.750
Tb  0.828  0.172  0.003
Tb  0.828  0.172  0.497
Pr  0.500  0.500  0.000
Pr  0.500  0.500  0.500
Sm  0.003  0.997  0.250
Sm  0.997  0.003  0.750
Er  0.330  0.670  0.750
Er  0.670  0.330  0.250

Summary:
For the calculated formation energy, the calculation gives 0.70 eV per formula unit. The space group is No. 63.



| no. | E (eV per atom) |
| --- | --- |
| 1 | -4.569 |
| 2 | -4.542 |